Computed, not measured: Tb3O after structural relaxation at the PBE level of DFT.

Structure (POSCAR):
```
Tb3O
1.0
-1.621 4.973 2.972
1.621 -4.973 2.972
1.621 4.973 -2.972
Tb O
3 1
Direct
0.000 0.000 0.000 Tb
0.318 0.485 0.833 Tb
0.652 0.485 0.167 Tb
0.295 0.795 0.500 O
```

Calculated values
The value obtained for the density of states at the Fermi level is 3.1 states/eV/f.u. The value obtained for the energy is -5.787 eV per atom. The space group is No. 44. The energy relative to the elements, uncorrected comes out at -4.30 eV per formula unit.